The following is a DFT calculation (PBEsol) of ZrInS2 after structural relaxation.

Lattice parameters (Å, degrees): 3.5090 3.5090 8.9717 78.72 78.72 60.00
Fractional positions:
S: 0.8920 0.8920 0.3241
S: 0.1080 0.1080 0.6759
Zr: 0.5000 0.5000 0.5000
In: 0.0000 0.0000 0.0000

Summary:
Size of the total moment in μB per atom: 0.00
Energy relative to the elements, uncorrected in eV/f.u.: -4.7
SG: No. 166
Final energy in eV per atom: -6.3729